No. 1
Below is an optimized crystal structure of Tl2SbTe3, with properties calculated at the PBE level.

Summary:
**D(E_F)**: 0.407 states/eV per atom
**Total energy**: -3.241 eV per atom
**Relative energy among the computed polymorphs**: 0.000 eV per formula unit

a b c (Å): 7.781 7.781 8.234
angles (deg): 99.02 99.02 120.03
Atoms (fractional coordinates):
Tl  0.833  0.167  0.500
Tl  0.333  0.667  0.000
Tl  0.169  0.831  0.500
Tl  0.497  0.503  0.500
Sb  0.002  0.998  0.000
Sb  0.665  0.335  0.000
Te  0.601  0.934  0.775
Te  0.066  0.399  0.225
Te  0.915  0.591  0.772
Te  0.258  0.248  0.772
Te  0.409  0.085  0.228
Te  0.752  0.742  0.228

---

No. 2
Below is an optimized crystal structure of Sb2AuIBr, with properties calculated at the PBE level.

Summary:
**D(E_F)**: 1.088 states/eV per atom
**Total energy**: -2.518 eV per atom
**Relative energy among the computed polymorphs**: 0.000 eV per formula unit

a b c (Å): 5.479 5.479 5.626
angles (deg): 90.00 90.00 90.00
Atoms (fractional coordinates):
I  0.000  0.000  0.500
Sb  0.000  0.500  0.000
Sb  0.500  0.000  0.000
Au  0.000  0.000  0.000
Br  0.500  0.500  0.500

---

No. 3
Below is an optimized crystal structure of CeYHoSe3, with properties calculated at the PBE level.

Summary:
**D(E_F)**: 1.455 states/eV per atom
**Total energy**: -6.185 eV per atom

a b c (Å): 4.059 7.955 10.260
angles (deg): 102.82 90.00 90.00
Atoms (fractional coordinates):
Ce  0.250  0.183  0.207
Ce  0.750  0.817  0.793
Y  0.250  0.173  0.621
Y  0.750  0.827  0.379
Ho  0.250  0.667  0.091
Ho  0.750  0.333  0.909
Se  0.750  0.911  0.111
Se  0.250  0.089  0.889
Se  0.250  0.796  0.564
Se  0.750  0.204  0.436
Se  0.750  0.475  0.191
Se  0.250  0.525  0.809

---

No. 4
Below is an optimized crystal structure of CsCd2Hg, with properties calculated at the PBE level.

Summary:
**D(E_F)**: 0.618 states/eV per atom
**Total energy**: -0.769 eV per atom
**ΔH_f (0 K)**: -23 meV per atom

a b c (Å): 4.177 4.177 8.207
angles (deg): 90.00 90.00 90.00
Atoms (fractional coordinates):
Cs  0.500  0.500  0.500
Hg  0.500  0.500  0.000
Cd  0.000  0.000  0.818
Cd  0.000  0.000  0.182

---

No. 5
Below is an optimized crystal structure of Ca2CoAg, with properties calculated at the PBE level.

Summary:
**D(E_F)**: 0.687 states/eV per atom
**Total energy**: -3.208 eV per atom
**Relative energy among the computed polymorphs**: 0.893 eV per formula unit
**ΔH_f (0 K)**: 282 meV per atom

a b c (Å): 3.839 3.839 8.522
angles (deg): 79.60 79.60 54.73
Atoms (fractional coordinates):
Ca  0.010  0.010  0.971
Ca  0.490  0.490  0.529
Co  0.750  0.750  0.750
Ag  0.250  0.250  0.250

---

No. 6
Below is an optimized crystal structure of Y3CdO, with properties calculated at the PBE level.

Summary:
**D(E_F)**: 1.237 states/eV per atom
**Total energy**: -6.230 eV per atom
**Relative energy among the computed polymorphs**: 0.799 eV per formula unit

a b c (Å): 24.984 6.287 9.816
angles (deg): 90.00 162.51 90.00
Atoms (fractional coordinates):
Y  0.294  0.917  0.941
Y  0.706  0.083  0.059
Y  0.206  0.417  0.559
Y  0.794  0.583  0.441
Y  0.356  0.424  0.258
Y  0.644  0.576  0.742
Y  0.144  0.924  0.242
Y  0.856  0.076  0.758
Y  0.414  0.882  0.592
Y  0.586  0.118  0.408
Y  0.086  0.382  0.908
Y  0.914  0.618  0.092
O  0.523  0.754  0.644
O  0.477  0.246  0.356
O  0.977  0.254  0.856
O  0.023  0.746  0.144
Cd  0.003  0.161  0.411
Cd  0.997  0.839  0.589
Cd  0.497  0.661  0.089
Cd  0.503  0.339  0.911

---

No. 7
Below is an optimized crystal structure of TbPm5Y5, with properties calculated at the PBE level.

Summary:
**D(E_F)**: 1.808 states/eV per atom
**Total energy**: -5.206 eV per atom
**Relative energy among the computed polymorphs**: 0.535 eV per formula unit
**ΔH_f (0 K)**: 312 meV per atom

a b c (Å): 6.167 6.167 11.498
angles (deg): 90.00 90.00 120.00
Atoms (fractional coordinates):
Tb  0.333  0.667  0.000
Pm  0.341  0.170  0.500
Pm  0.000  0.000  0.264
Pm  0.830  0.659  0.500
Pm  0.830  0.170  0.500
Pm  0.000  0.000  0.736
Y  0.667  0.333  0.160
Y  0.667  0.333  0.840
Y  0.333  0.667  0.320
Y  0.333  0.667  0.680
Y  0.000  0.000  0.000

---

No. 8
Below is an optimized crystal structure of SmGaCl, with properties calculated at the PBE level.

Summary:
**D(E_F)**: 0.293 states/eV per atom
**Total energy**: -4.594 eV per atom

a b c (Å): 4.162 4.162 11.068
angles (deg): 79.26 79.16 60.00
Atoms (fractional coordinates):
Sm  0.434  0.436  0.695
Sm  0.566  0.564  0.305
Ga  0.843  0.843  0.470
Ga  0.157  0.157  0.530
Cl  0.718  0.721  0.843
Cl  0.282  0.279  0.157

---

No. 9
Below is an optimized crystal structure of ZrMnBe, with properties calculated at the PBE level.

Summary:
**D(E_F)**: 0.865 states/eV per atom
**Total energy**: -7.315 eV per atom
**Relative energy among the computed polymorphs**: 0.000 eV per formula unit
**ΔH_f (0 K)**: -167 meV per atom

a b c (Å): 4.840 4.840 12.393
angles (deg): 78.74 78.74 60.00
Atoms (fractional coordinates):
Zr  0.735  0.735  0.794
Zr  0.265  0.265  0.206
Zr  0.040  0.040  0.881
Zr  0.960  0.960  0.119
Zr  0.181  0.181  0.456
Zr  0.819  0.819  0.544
Mn  0.222  0.724  0.330
Mn  0.724  0.222  0.330
Mn  0.724  0.724  0.330
Mn  0.778  0.276  0.670
Mn  0.276  0.778  0.670
Mn  0.276  0.276  0.670
Be  0.386  0.386  0.841
Be  0.614  0.614  0.159
Be  0.000  0.500  0.000
Be  0.500  0.000  0.000
Be  0.500  0.500  0.000
Be  0.500  0.500  0.500

---

No. 10
Below is an optimized crystal structure of Na2As2Pd5Pb, with properties calculated at the PBE level.

Summary:
**D(E_F)**: 0.421 states/eV per atom
**Total energy**: -4.508 eV per atom
**ΔH_f (0 K)**: -347 meV per atom

a b c (Å): 3.536 10.347 10.347
angles (deg): 90.00 90.00 90.00
Atoms (fractional coordinates):
Na  0.000  0.673  0.173
Na  0.000  0.327  0.827
Na  0.000  0.173  0.327
Na  0.000  0.827  0.673
As  0.000  0.127  0.627
As  0.000  0.873  0.373
As  0.000  0.627  0.873
As  0.000  0.373  0.127
Pd  0.500  0.210  0.066
Pd  0.500  0.790  0.934
Pd  0.500  0.066  0.790
Pd  0.500  0.710  0.434
Pd  0.500  0.934  0.210
Pd  0.500  0.290  0.566
Pd  0.500  0.566  0.710
Pd  0.500  0.434  0.290
Pd  0.500  0.500  0.000
Pd  0.500  0.000  0.500
Pb  0.000  0.000  0.000
Pb  0.000  0.500  0.500

---

No. 11
Below is an optimized crystal structure of TaRh2Br, with properties calculated at the PBE level.

Summary:
**D(E_F)**: 0.325 states/eV per atom
**Total energy**: -7.015 eV per atom
**Relative energy among the computed polymorphs**: 1.122 eV per formula unit

a b c (Å): 4.906 4.906 6.594
angles (deg): 79.76 79.76 38.09
Atoms (fractional coordinates):
Rh  0.079  0.079  0.859
Rh  0.811  0.811  0.760
Br  0.102  0.102  0.276
Ta  0.508  0.508  0.605

---

No. 12
Below is an optimized crystal structure of MgGa2Pd, with properties calculated at the PBE level.

Summary:
**D(E_F)**: 0.308 states/eV per atom
**Total energy**: -3.682 eV per atom
**ΔH_f (0 K)**: -472 meV per atom

a b c (Å): 5.089 7.733 14.271
angles (deg): 90.00 90.00 90.00
Atoms (fractional coordinates):
Mg  0.466  0.250  0.139
Mg  0.966  0.750  0.361
Mg  0.534  0.750  0.861
Mg  0.034  0.250  0.639
Mg  0.737  0.250  0.390
Mg  0.237  0.750  0.110
Mg  0.263  0.750  0.610
Mg  0.763  0.250  0.890
Ga  0.947  0.045  0.213
Ga  0.447  0.955  0.287
Ga  0.053  0.545  0.787
Ga  0.553  0.455  0.713
Ga  0.053  0.955  0.787
Ga  0.553  0.045  0.713
Ga  0.947  0.455  0.213
Ga  0.447  0.545  0.287
Ga  0.736  0.550  0.033
Ga  0.236  0.450  0.467
Ga  0.264  0.050  0.967
Ga  0.764  0.950  0.533
Ga  0.264  0.450  0.967
Ga  0.764  0.550  0.533
Ga  0.736  0.950  0.033
Ga  0.236  0.050  0.467
Pd  0.227  0.250  0.315
Pd  0.727  0.750  0.185
Pd  0.773  0.750  0.685
Pd  0.273  0.250  0.815
Pd  0.968  0.250  0.071
Pd  0.468  0.750  0.429
Pd  0.032  0.750  0.929
Pd  0.532  0.250  0.571

---

No. 13
Below is an optimized crystal structure of Zr2NiSb, with properties calculated at the PBE level.

Summary:
**D(E_F)**: 0.865 states/eV per atom
**Total energy**: -7.073 eV per atom

a b c (Å): 7.200 7.200 7.200
angles (deg): 30.66 30.66 30.66
Atoms (fractional coordinates):
Ni  0.250  0.250  0.250
Sb  0.750  0.750  0.750
Zr  0.988  0.988  0.988
Zr  0.512  0.512  0.512

---

No. 14
Below is an optimized crystal structure of AcTbTm2S4, with properties calculated at the PBE level.

Summary:
**D(E_F)**: 0.467 states/eV per atom
**Total energy**: -6.207 eV per atom

a b c (Å): 3.905 7.107 6.812
angles (deg): 71.55 90.00 90.00
Atoms (fractional coordinates):
Ac  0.500  0.500  0.000
Tb  0.000  0.500  0.500
Tm  0.000  0.000  0.000
Tm  0.500  0.000  0.500
S  0.000  0.778  0.730
S  0.000  0.222  0.270
S  0.500  0.770  0.254
S  0.500  0.230  0.746

---

No. 15
Below is an optimized crystal structure of LiLa2AuO5, with properties calculated at the PBE level.

Summary:
**D(E_F)**: 0.000 states/eV per atom
**Total energy**: -6.565 eV per atom

a b c (Å): 5.949 6.931 6.931
angles (deg): 90.00 90.00 90.00
Atoms (fractional coordinates):
Li  0.000  0.500  0.500
Li  0.000  0.000  0.000
La  0.500  0.681  0.181
La  0.500  0.181  0.319
La  0.500  0.819  0.681
La  0.500  0.319  0.819
Au  0.000  0.000  0.500
Au  0.000  0.500  0.000
O  0.500  0.500  0.500
O  0.500  0.000  0.000
O  0.249  0.137  0.637
O  0.249  0.863  0.363
O  0.249  0.363  0.137
O  0.249  0.637  0.863
O  0.751  0.137  0.637
O  0.751  0.637  0.863
O  0.751  0.863  0.363
O  0.751  0.363  0.137

---

No. 16
Below is an optimized crystal structure of LaNdCd6, with properties calculated at the PBE level.

Summary:
**D(E_F)**: 0.690 states/eV per atom
**Total energy**: -2.208 eV per atom
**ΔH_f (0 K)**: -310 meV per atom

a b c (Å): 5.004 6.802 6.802
angles (deg): 117.03 90.00 90.00
Atoms (fractional coordinates):
La  0.000  0.100  0.900
Nd  0.500  0.401  0.599
Cd  0.000  0.058  0.383
Cd  0.000  0.617  0.942
Cd  0.000  0.582  0.418
Cd  0.500  0.446  0.118
Cd  0.500  0.882  0.554
Cd  0.500  0.915  0.085

---

No. 17
Below is an optimized crystal structure of Tl3Fe2CuCl9, with properties calculated at the PBE level.

Summary:
**D(E_F)**: 0.721 states/eV per atom
**Total energy**: -3.767 eV per atom

a b c (Å): 6.985 6.985 8.575
angles (deg): 90.00 90.00 120.00
Atoms (fractional coordinates):
Tl  0.333  0.667  0.659
Tl  0.000  0.000  0.000
Tl  0.667  0.333  0.341
Fe  0.333  0.667  0.172
Fe  0.667  0.333  0.828
Cu  0.000  0.000  0.500
Cl  0.831  0.169  0.670
Cl  0.831  0.663  0.670
Cl  0.337  0.169  0.670
Cl  0.663  0.831  0.330
Cl  0.169  0.337  0.330
Cl  0.169  0.831  0.330
Cl  0.500  0.000  0.000
Cl  0.000  0.500  0.000
Cl  0.500  0.500  0.000

---

No. 18
Below is an optimized crystal structure of GdHoHg2, with properties calculated at the PBE level.

Summary:
**D(E_F)**: 1.226 states/eV per atom
**Total energy**: -5.307 eV per atom
**Relative energy among the computed polymorphs**: 0.016 eV per formula unit
**ΔH_f (0 K)**: -491 meV per atom

a b c (Å): 5.270 5.270 5.270
angles (deg): 60.00 60.00 60.00
Atoms (fractional coordinates):
Gd  0.000  0.000  0.000
Hg  0.750  0.750  0.750
Hg  0.250  0.250  0.250
Ho  0.500  0.500  0.500

---

No. 19
Below is an optimized crystal structure of NbSiOs, with properties calculated at the PBE level.

Summary:
**D(E_F)**: 0.476 states/eV per atom
**Total energy**: -9.375 eV per atom

a b c (Å): 4.233 4.233 2.941
angles (deg): 90.00 90.00 120.00
Atoms (fractional coordinates):
Nb  0.333  0.667  0.500
Os  0.000  0.000  0.000
Si  0.667  0.333  0.000

---

No. 20
Below is an optimized crystal structure of La2MgGe3Rh4, with properties calculated at the PBE level.

Summary:
**D(E_F)**: 0.734 states/eV per atom
**Total energy**: -6.322 eV per atom
**ΔH_f (0 K)**: -851 meV per atom

a b c (Å): 4.227 4.227 10.724
angles (deg): 90.00 90.00 90.00
Atoms (fractional coordinates):
La  0.500  0.000  0.246
La  0.000  0.500  0.754
Mg  0.500  0.500  0.500
Ge  0.000  0.000  0.500
Ge  0.500  0.000  0.875
Ge  0.000  0.500  0.125
Rh  0.500  0.500  0.000
Rh  0.000  0.000  0.000
Rh  0.500  0.000  0.642
Rh  0.000  0.500  0.358

---

No. 21
Below is an optimized crystal structure of Pr4Dy15Tl, with properties calculated at the PBE level.

Summary:
**D(E_F)**: 1.232 states/eV per atom
**Total energy**: -4.537 eV per atom
**ΔH_f (0 K)**: -11 meV per atom

a b c (Å): 5.010 5.010 25.366
angles (deg): 90.00 90.00 90.00
Atoms (fractional coordinates):
Pr  0.000  0.000  0.198
Pr  0.000  0.000  0.399
Pr  0.000  0.000  0.601
Pr  0.000  0.000  0.802
Dy  0.500  0.500  0.000
Dy  0.500  0.500  0.194
Dy  0.500  0.500  0.398
Dy  0.500  0.500  0.602
Dy  0.500  0.500  0.806
Dy  0.500  0.000  0.096
Dy  0.500  0.000  0.298
Dy  0.500  0.000  0.500
Dy  0.500  0.000  0.702
Dy  0.500  0.000  0.904
Dy  0.000  0.500  0.096
Dy  0.000  0.500  0.298
Dy  0.000  0.500  0.500
Dy  0.000  0.500  0.702
Dy  0.000  0.500  0.904
Tl  0.000  0.000  0.000